First-principles (PBE-GGA) data for crystalline Si2H2O5 at its relaxed geometry, as listed in Alexandria.

POSCAR file:
```
Si2H2O5
1.0
8.125 -2.520 0.000
8.125 2.520 0.000
-2.244 0.000 5.617
Si H O
4 4 10
Direct
0.094 0.094 0.193
0.384 0.427 0.508
0.573 0.616 0.492
0.906 0.906 0.807
0.284 0.263 0.186
0.640 0.043 0.049
0.737 0.716 0.814
0.957 0.360 0.951
0.099 0.629 0.611
0.103 0.897 0.000
0.111 0.225 0.072
0.371 0.901 0.389
0.382 0.618 0.500
0.399 0.277 0.241
0.659 0.192 0.685
0.723 0.601 0.759
0.775 0.889 0.928
0.808 0.341 0.315
```

distance to the lowest polymorph of the same formula = 0.000 eV/atom
crystal system = monoclinic